Entry i
Compound: Nd2Y4Sc
Source: the Alexandria database
Functional: PBE-GGA
Structure: relaxed

Its spin magnetization is 0.000 μB per cell.

Lattice parameters (Å, degrees): 8.7795 10.6108 5.0897 90.00 90.00 90.00
With the nearest neighbours (Å) after each atom.
Sites, in units of the cell vectors:
Nd 0.0000 0.1984 0.0000  2 Sc 3.30, 8 Y 3.36-3.66
Nd 0.0000 0.8016 0.0000  2 Sc 3.30, 8 Y 3.36-3.66
Nd 0.5000 0.3016 0.0000  2 Sc 3.30, 8 Y 3.36-3.66
Nd 0.5000 0.6984 0.0000  2 Sc 3.30, 8 Y 3.36-3.66
Y 0.2014 0.5000 0.0000  4 Nd 3.36-3.66, 5 Y 3.54-3.70, 2 Sc 3.65
Y 0.2500 0.2500 0.5000  4 Nd 3.40, 2 Sc 3.44, 4 Y 3.70
Y 0.2500 0.7500 0.5000  4 Nd 3.40, 2 Sc 3.44, 4 Y 3.70
Y 0.2986 0.0000 0.0000  4 Nd 3.36-3.66, 5 Y 3.54-3.70, 2 Sc 3.65
Y 0.7014 0.0000 0.0000  4 Nd 3.36-3.66, 5 Y 3.54-3.70, 2 Sc 3.65
Y 0.7500 0.2500 0.5000  4 Nd 3.40, 2 Sc 3.44, 4 Y 3.70
Y 0.7500 0.7500 0.5000  4 Nd 3.40, 2 Sc 3.44, 4 Y 3.70
Y 0.7986 0.5000 0.0000  4 Nd 3.36-3.66, 5 Y 3.54-3.70, 2 Sc 3.65
Sc 0.0000 0.0000 0.5000  4 Nd 3.30, 8 Y 3.44-3.65
Sc 0.5000 0.5000 0.5000  4 Nd 3.30, 8 Y 3.44-3.65

---

Entry ii
Compound: Nd2Y4Sc
Source: the Alexandria database
Functional: PBE-GGA
Structure: relaxed

Its spin magnetization is 0.016 μB per cell.

Lattice parameters (Å, degrees): 6.2477 3.6086 20.0637 90.00 95.96 90.00
With the nearest neighbours (Å) after each atom.
Sites, in units of the cell vectors:
Nd 0.0000 0.0000 0.0000  6 Y 3.58-3.62, 6 Nd 3.61
Nd 0.0997 0.0000 0.2947  6 Nd 3.61, 6 Y 3.61-3.63
Nd 0.5000 0.5000 0.0000  6 Y 3.58-3.62, 6 Nd 3.61
Nd 0.5997 0.5000 0.2947  6 Nd 3.61, 6 Y 3.61-3.63
Y 0.1970 0.0000 0.5862  3 Sc 3.37-3.38, 9 Y 3.55-3.61
Y 0.2156 0.5000 0.1459  6 Nd 3.58-3.63, 6 Y 3.61
Y 0.2848 0.0000 0.8520  3 Sc 3.37, 6 Y 3.61, 3 Nd 3.61-3.62
Y 0.3152 0.5000 0.4424  9 Y 3.55-3.61, 3 Nd 3.61
Y 0.6970 0.5000 0.5862  3 Sc 3.37-3.38, 9 Y 3.55-3.61
Y 0.7156 0.0000 0.1459  6 Nd 3.58-3.63, 6 Y 3.61
Y 0.7848 0.5000 0.8520  3 Sc 3.37, 6 Y 3.61, 3 Nd 3.61-3.62
Y 0.8152 0.0000 0.4424  9 Y 3.55-3.61, 3 Nd 3.61
Sc 0.4074 0.5000 0.7192  6 Y 3.37-3.38, 6 Sc 3.61
Sc 0.9074 0.0000 0.7192  6 Y 3.37-3.38, 6 Sc 3.61

---

The most stable arrangement is entry ii, and the next structure is 0.196 eV/atom less stable.

---

Entry i
Compound: Nd7Y3Sc
Source: the Alexandria database
Functional: PBE-GGA
Structure: relaxed

Its spin magnetization is 0.000 μB per cell.

Lattice parameters (Å, degrees): 8.5727 8.5727 5.8530 109.94 109.94 83.46
With the nearest neighbours (Å) after each atom.
Sites, in units of the cell vectors:
Nd 0.0000 0.0000 0.0000  2 Sc 2.93
Nd 0.0966 0.5229 0.3098  3 Y 3.26-3.64, 3 Nd 3.33-3.44
Nd 0.2841 0.2841 0.7851  1 Sc 3.23, 2 Y 3.38, 2 Nd 3.44
Nd 0.4771 0.9034 0.6902  3 Y 3.26-3.64, 3 Nd 3.33-3.44
Nd 0.5229 0.0966 0.3098  3 Y 3.26-3.64, 3 Nd 3.33-3.44
Nd 0.7159 0.7159 0.2149  1 Sc 3.23, 2 Y 3.38, 2 Nd 3.44
Nd 0.9034 0.4771 0.6902  3 Y 3.26-3.64, 3 Nd 3.33-3.44
Y 0.2971 0.7029 0.0000  9 Nd 3.38-3.65, 2 Y 3.73
Y 0.5000 0.5000 0.5000  4 Nd 3.26
Y 0.7029 0.2971 0.0000  9 Nd 3.38-3.65, 2 Y 3.73
Sc 0.0000 0.0000 0.5000  4 Nd 2.93-3.23

---

Entry ii
Compound: Nd7Y3Sc
Source: the Alexandria database
Functional: PBE-GGA
Structure: relaxed

Its spin magnetization is 0.000 μB per cell.

Lattice parameters (Å, degrees): 7.0987 11.1694 10.0923 90.00 109.88 90.00
With the nearest neighbours (Å) after each atom.
Sites, in units of the cell vectors:
Nd 0.0819 0.0000 0.1738  5 Nd 3.33-3.70, 3 Y 3.44-3.60, 1 Sc 3.53
Nd 0.0826 0.4660 0.1747  5 Nd 3.33-3.70, 3 Y 3.44-3.61, 1 Sc 3.54
Nd 0.1339 0.7327 0.3297  3 Nd 3.30-3.34, 2 Sc 3.57, 1 Y 3.69
Nd 0.1996 0.2328 0.4141  2 Sc 3.37-3.38, 2 Y 3.44, 4 Nd 3.46-3.76
Nd 0.3284 0.7334 0.6765  4 Nd 3.30-3.54, 2 Y 3.39-3.49, 2 Sc 3.68-3.69
Nd 0.4006 0.0267 0.8156  3 Y 3.51-3.53, 1 Sc 3.51, 4 Nd 3.53-3.70
Nd 0.4014 0.4409 0.8176  3 Y 3.51-3.53, 1 Sc 3.52, 4 Nd 3.52-3.70
Nd 0.5994 0.5267 0.1844  3 Y 3.51-3.53, 1 Sc 3.51, 4 Nd 3.53-3.70
Nd 0.5986 0.9409 0.1824  3 Y 3.51-3.53, 1 Sc 3.52, 4 Nd 3.52-3.70
Nd 0.6716 0.2334 0.3235  4 Nd 3.30-3.54, 2 Y 3.39-3.49, 2 Sc 3.68-3.69
Nd 0.8004 0.7328 0.5859  2 Sc 3.37-3.38, 2 Y 3.44, 4 Nd 3.46-3.76
Nd 0.8661 0.2327 0.6703  3 Nd 3.30-3.34, 2 Sc 3.57, 1 Y 3.69
Nd 0.9174 0.9660 0.8253  5 Nd 3.33-3.70, 3 Y 3.44-3.61, 1 Sc 3.54
Nd 0.9181 0.5000 0.8262  5 Nd 3.33-3.70, 3 Y 3.44-3.60, 1 Sc 3.53
Y 0.2351 0.7333 0.9944  2 Y 3.45-3.67, 8 Nd 3.48-3.84
Y 0.2601 0.2331 0.0276  6 Nd 3.39-3.74, 2 Y 3.45-3.67
Y 0.4994 0.9826 0.4991  10 Nd 3.44-3.81, 2 Sc 3.55
Y 0.5006 0.4826 0.5009  10 Nd 3.44-3.81, 2 Sc 3.55
Y 0.7399 0.7331 0.9724  6 Nd 3.39-3.74, 2 Y 3.45-3.67
Y 0.7649 0.2333 0.0056  2 Y 3.45-3.67, 8 Nd 3.48-3.84
Sc 0.0003 0.4829 0.5006  10 Nd 3.37-3.69, 2 Y 3.55
Sc 0.9997 0.9829 0.4994  10 Nd 3.37-3.69, 2 Y 3.55

---

The most stable arrangement is entry ii, and the next structure is 0.107 eV/atom less stable.

---

Entry i
Compound: Nd3YSc2
Source: the Alexandria database
Functional: PBE-GGA
Structure: relaxed

Its spin magnetization is 0.000 μB per cell.

Lattice parameters (Å, degrees): 8.7634 8.7634 5.5355 90.00 90.00 68.20
With the nearest neighbours (Å) after each atom.
Sites, in units of the cell vectors:
Nd 0.0912 0.9088 0.7500  4 Nd 3.30-3.56, 3 Y 3.32-3.62, 2 Sc 3.45
Nd 0.1096 0.3774 0.2500  2 Sc 3.14-3.37
Nd 0.3774 0.1096 0.7500  2 Sc 3.14-3.37
Nd 0.6226 0.8904 0.2500  2 Sc 3.14-3.37
Nd 0.8904 0.6226 0.7500  2 Sc 3.14-3.37
Nd 0.9088 0.0912 0.2500  4 Nd 3.30-3.56, 3 Y 3.32-3.62, 2 Sc 3.45
Y 0.2775 0.7225 0.2500  3 Nd 3.32-3.62, 6 Sc 3.40-3.44
Y 0.7225 0.2775 0.7500  3 Nd 3.32-3.62, 6 Sc 3.40-3.44
Sc 0.3041 0.4887 0.7500  3 Sc 3.01-3.31, 1 Nd 3.14
Sc 0.4887 0.3041 0.2500  3 Sc 3.01-3.31, 1 Nd 3.14
Sc 0.5113 0.6959 0.7500  3 Sc 3.01-3.31, 1 Nd 3.14
Sc 0.6959 0.5113 0.2500  3 Sc 3.01-3.31, 1 Nd 3.14

---

Entry ii
Compound: Nd3YSc2
Source: the Alexandria database
Functional: PBE-GGA
Structure: relaxed

Its spin magnetization is 0.000 μB per cell.

Lattice parameters (Å, degrees): 9.5002 3.4841 11.3907 90.00 95.02 90.00
With the nearest neighbours (Å) after each atom.
Sites, in units of the cell vectors:
Nd 0.0713 0.2500 0.1226  2 Sc 3.39-3.40, 2 Y 3.46, 7 Nd 3.47-3.59
Nd 0.2579 0.2500 0.8653  6 Nd 3.33-3.59, 5 Sc 3.45-3.62
Nd 0.3986 0.2500 0.6077  5 Nd 3.33-3.69, 3 Y 3.45-3.57, 4 Sc 3.52-3.55
Nd 0.6014 0.7500 0.3923  5 Nd 3.33-3.69, 3 Y 3.45-3.57, 4 Sc 3.52-3.55
Nd 0.7421 0.7500 0.1347  6 Nd 3.33-3.59, 5 Sc 3.45-3.62
Nd 0.9287 0.7500 0.8774  2 Sc 3.39-3.40, 2 Y 3.46, 7 Nd 3.47-3.59
Y 0.2372 0.7500 0.3579  5 Sc 3.44-3.59, 5 Nd 3.45-3.57, 2 Y 3.48
Y 0.7628 0.2500 0.6421  5 Sc 3.44-3.59, 5 Nd 3.45-3.57, 2 Y 3.48
Sc 0.0776 0.7500 0.6176  5 Nd 3.39-3.62, 4 Sc 3.42-3.48, 3 Y 3.44-3.49
Sc 0.4310 0.2500 0.1479  6 Nd 3.40-3.55, 2 Sc 3.48, 2 Y 3.59
Sc 0.5690 0.7500 0.8521  6 Nd 3.40-3.55, 2 Sc 3.48, 2 Y 3.59
Sc 0.9224 0.2500 0.3824  5 Nd 3.39-3.62, 4 Sc 3.42-3.48, 3 Y 3.44-3.49

---

The most stable arrangement is entry ii, and the next structure is 0.141 eV/atom less stable.

---

Entry i
Compound: NdYSc
Source: the Alexandria database
Functional: PBE-GGA
Structure: relaxed

Its spin magnetization is 0.000 μB per cell.

Lattice parameters (Å, degrees): 3.5347 3.5347 14.6816 90.00 90.00 90.00
With the nearest neighbours (Å) after each atom.
Sites, in units of the cell vectors:
Nd 0.0000 0.0000 0.0000  4 Sc 3.45, 4 Nd 3.53, 4 Y 3.63
Nd 0.5000 0.5000 0.5000  4 Sc 3.45, 4 Nd 3.53, 4 Y 3.63
Y 0.0000 0.0000 0.6793  4 Sc 3.42, 4 Y 3.53, 4 Nd 3.63
Y 0.5000 0.5000 0.1793  4 Sc 3.42, 4 Y 3.53, 4 Nd 3.63
Sc 0.0000 0.0000 0.3385  4 Y 3.42, 4 Nd 3.45, 4 Sc 3.53
Sc 0.5000 0.5000 0.8385  4 Y 3.42, 4 Nd 3.45, 4 Sc 3.53

---

Entry ii
Compound: NdYSc
Source: the Alexandria database
Functional: PBE-GGA
Structure: relaxed

Its spin magnetization is 0.001 μB per cell.

Lattice parameters (Å, degrees): 20.5958 3.4528 5.1523 90.00 90.00 90.00
With the nearest neighbours (Å) after each atom.
Sites, in units of the cell vectors:
Nd 0.0000 0.0000 0.0000  4 Nd 3.25-3.45, 1 Sc 3.33, 4 Y 3.53
Nd 0.0964 0.0000 0.4999  4 Nd 3.25-3.45, 1 Sc 3.34, 4 Y 3.53
Nd 0.5000 0.5000 0.0000  4 Nd 3.25-3.45, 1 Sc 3.33, 4 Y 3.53
Nd 0.5964 0.5000 0.4999  4 Nd 3.25-3.45, 1 Sc 3.34, 4 Y 3.53
Y 0.1785 0.5000 0.9999  5 Sc 3.29-3.51, 2 Y 3.45, 4 Nd 3.53
Y 0.4178 0.0000 0.5000  5 Sc 3.29-3.51, 2 Y 3.45, 4 Nd 3.53
Y 0.6785 0.0000 0.9999  5 Sc 3.29-3.51, 2 Y 3.45, 4 Nd 3.53
Y 0.9178 0.5000 0.5000  5 Sc 3.29-3.51, 2 Y 3.45, 4 Nd 3.53
Sc 0.2583 0.0000 0.5005  5 Y 3.29-3.51, 1 Nd 3.34, 6 Sc 3.45-3.52
Sc 0.3381 0.5000 0.9987  5 Y 3.29-3.51, 1 Nd 3.33, 6 Sc 3.45-3.52
Sc 0.7583 0.5000 0.5005  5 Y 3.29-3.51, 1 Nd 3.34, 6 Sc 3.45-3.52
Sc 0.8381 0.0000 0.9987  5 Y 3.29-3.51, 1 Nd 3.33, 6 Sc 3.45-3.52

---

The most stable arrangement is entry i, and the next structure is 0.047 eV/atom less stable.

---

Entry i
Compound: Nd4Y3Sc2
Source: the Alexandria database
Functional: PBE-GGA
Structure: relaxed

Its spin magnetization is 0.000 μB per cell.

Lattice parameters (Å, degrees): 6.6278 6.6278 14.1357 114.93 114.93 31.54
With the nearest neighbours (Å) after each atom.
Sites, in units of the cell vectors:
Nd 0.2182 0.2182 0.3719  4 Y 3.54-3.93, 3 Sc 3.56-3.62, 4 Nd 3.60-3.80
Nd 0.2785 0.2785 0.8837  2 Sc 3.42, 5 Y 3.43-3.65, 2 Nd 3.60
Nd 0.7215 0.7215 0.1163  2 Sc 3.42, 5 Y 3.43-3.65, 2 Nd 3.60
Nd 0.7818 0.7818 0.6281  4 Y 3.54-3.93, 3 Sc 3.56-3.62, 4 Nd 3.60-3.80
Y 0.0000 0.0000 0.5000  4 Sc 3.27, 2 Y 3.60
Y 0.0110 0.0110 0.8867  2 Sc 3.30, 3 Y 3.34-3.60, 6 Nd 3.43-3.65
Y 0.9890 0.9890 0.1133  2 Sc 3.30, 3 Y 3.34-3.60, 6 Nd 3.43-3.65
Sc 0.4523 0.4523 0.2922  4 Y 3.27-3.30, 5 Nd 3.42-3.62, 2 Sc 3.60
Sc 0.5477 0.5477 0.7078  4 Y 3.27-3.30, 5 Nd 3.42-3.62, 2 Sc 3.60

---

Entry ii
Compound: Nd4Y3Sc2
Source: the Alexandria database
Functional: PBE-GGA
Structure: relaxed

Its spin magnetization is 0.000 μB per cell.

Lattice parameters (Å, degrees): 9.7064 9.7064 7.0386 90.00 90.00 120.68
With the nearest neighbours (Å) after each atom.
Sites, in units of the cell vectors:
Nd 0.1529 0.1794 0.0000  1 Sc 3.17, 4 Nd 3.22-3.55
Nd 0.1659 0.4879 0.5000  3 Sc 3.21-3.53, 2 Nd 3.32-3.35
Nd 0.1794 0.1529 0.5000  1 Sc 3.17, 4 Nd 3.22-3.55
Nd 0.4879 0.1659 0.0000  3 Sc 3.21-3.53, 2 Nd 3.32-3.35
Nd 0.5121 0.8341 0.0000  3 Sc 3.21-3.53, 2 Nd 3.32-3.35
Nd 0.8206 0.8471 0.5000  1 Sc 3.17, 4 Nd 3.22-3.55
Nd 0.8341 0.5121 0.5000  3 Sc 3.21-3.53, 2 Nd 3.32-3.35
Nd 0.8471 0.8206 0.0000  1 Sc 3.17, 4 Nd 3.22-3.55
Y 0.1753 0.8247 0.2500  4 Sc 3.47-3.70, 2 Y 3.52, 6 Nd 3.61-3.67
Y 0.1753 0.8247 0.7500  4 Sc 3.47-3.70, 2 Y 3.52, 6 Nd 3.61-3.67
Y 0.5000 0.5000 0.2500  2 Y 3.52, 8 Nd 3.64-3.66, 4 Sc 3.74
Y 0.5000 0.5000 0.7500  2 Y 3.52, 8 Nd 3.64-3.66, 4 Sc 3.74
Y 0.8247 0.1753 0.2500  4 Sc 3.47-3.70, 2 Y 3.52, 6 Nd 3.61-3.67
Y 0.8247 0.1753 0.7500  4 Sc 3.47-3.70, 2 Y 3.52, 6 Nd 3.61-3.67
Sc 0.1662 0.5125 0.0000  1 Sc 3.11, 2 Nd 3.17-3.21, 2 Y 3.47
Sc 0.4875 0.8338 0.5000  1 Sc 3.11, 2 Nd 3.17-3.21, 2 Y 3.47
Sc 0.5125 0.1662 0.5000  1 Sc 3.11, 2 Nd 3.17-3.21, 2 Y 3.47
Sc 0.8338 0.4875 0.0000  1 Sc 3.11, 2 Nd 3.17-3.21, 2 Y 3.47

---

The most stable arrangement is entry ii, and the next structure is 0.038 eV/atom less stable.